# BaLi3Tc

A relaxed structure of BaLi3Tc (PBEsol, the Alexandria database).

a b c (Å): 4.8996 4.8996 4.8996
angles (deg): 90.00 90.00 90.00
Positions (direct):
Ba: 0.0000 0.0000 0.0000
Li: 0.0000 0.0000 0.5000
Li: 0.0000 0.5000 0.0000
Li: 0.5000 0.0000 0.0000
Tc: 0.5000 0.5000 0.5000

Total moment, μB per atom: 0.465
Energy, eV per atom: -2.099
DFT formation energy, eV/atom: 1.764
ρ, g/cm3: 3.616
D(E_F), states/eV/f.u.: 7.7

=====

# BaLiTe4

A relaxed structure of BaLiTe4 (PBEsol, the Alexandria database).

a b c (Å): 6.5069 6.5069 6.5069
angles (deg): 60.00 60.00 60.00
Positions (direct):
Ba: 0.0000 0.0000 0.0000
Li: 0.2500 0.2500 0.2500
Te: 0.1272 0.6243 0.6243
Te: 0.6243 0.1272 0.6243
Te: 0.6243 0.6243 0.1272
Te: 0.6243 0.6243 0.6243

Total moment, μB per atom: 0.000
Energy, eV per atom: -3.424
ρ, g/cm3: 5.580
D(E_F), states/eV/f.u.: 3.6
Formation energy from raw total energies, meV per atom: -387

=====

# Ba2LiTe

A relaxed structure of Ba2LiTe (PBEsol, the Alexandria database).

a b c (Å): 4.7514 6.8834 6.8834
angles (deg): 41.56 90.00 90.00
Positions (direct):
Ba: 0.0000 0.0000 0.0000
Ba: 0.5000 0.2922 0.2922
Li: 0.0000 0.7010 0.7010
Te: 0.5000 0.5760 0.5760

Total moment, μB per atom: 0.217
Energy, eV per atom: -3.254
ρ, g/cm3: 4.549
D(E_F), states/eV/f.u.: 3.7
Formation energy from raw total energies, meV per atom: -806

=====

# Ba2LiTe

A relaxed structure of Ba2LiTe (PBEsol, the Alexandria database).

a b c (Å): 6.9962 6.9962 6.9962
angles (deg): 143.94 135.43 58.61
Positions (direct):
Ba: 0.0000 0.0000 0.0000
Ba: 0.7166 0.2166 0.5000
Li: 0.2914 0.7914 0.5000
Te: 0.4406 0.4406 0.0000

Total moment, μB per atom: 0.176
Energy, eV per atom: -3.174
ρ, g/cm3: 4.847
D(E_F), states/eV/f.u.: 2.5
Formation energy from raw total energies, meV per atom: -726

=====

# BaLi2Te2

A relaxed structure of BaLi2Te2 (PBEsol, the Alexandria database).

a b c (Å): 7.8622 7.8622 7.8622
angles (deg): 147.73 147.73 46.29
Positions (direct):
Ba: 0.0000 0.0000 0.0000
Li: 0.2500 0.7500 0.5000
Li: 0.7500 0.2500 0.5000
Te: 0.3668 0.3668 0.0000
Te: 0.6332 0.6332 0.0000

Total moment, μB per atom: 0.000
Energy, eV per atom: -3.926
ρ, g/cm3: 4.888
Formation energy from raw total energies, meV per atom: -1299

=====

# BaLi2Ti

A relaxed structure of BaLi2Ti (PBEsol, the Alexandria database).

a b c (Å): 11.6508 11.6508 11.6508
angles (deg): 157.59 157.59 31.90
Positions (direct):
Ba: 0.0000 0.0000 0.0000
Ba: 0.7500 0.2500 0.5000
Li: 0.1951 0.1250 0.5701
Li: 0.3750 0.8049 0.9299
Li: 0.5549 0.6250 0.4299
Li: 0.8750 0.4451 0.0701
Ti: 0.2500 0.7500 0.5000
Ti: 0.5000 0.5000 0.0000

Total moment, μB per atom: 0.613
Energy, eV per atom: -2.858
DFT formation energy, eV/atom: 0.743
ρ, g/cm3: 2.878
D(E_F), states/eV/f.u.: 5.3

=====

# BaLi2Tl

A relaxed structure of BaLi2Tl (PBEsol, the Alexandria database).

a b c (Å): 5.1560 5.1560 4.4632
angles (deg): 90.00 90.00 90.00
Positions (direct):
Ba: 0.0000 0.0000 0.0000
Li: 0.0000 0.5000 0.5000
Li: 0.5000 0.0000 0.5000
Tl: 0.5000 0.5000 0.0000

Total moment, μB per atom: 0.001
Energy, eV per atom: -2.211
DFT formation energy, eV/atom: -0.033
ρ, g/cm3: 4.977
D(E_F), states/eV/f.u.: 4.3
E above lowest polymorph, kJ per mole of atoms: 19.3

=====

# BaLi2Tl

A relaxed structure of BaLi2Tl (PBEsol, the Alexandria database).

a b c (Å): 6.5090 6.5090 6.5090
angles (deg): 44.11 44.11 44.11
Positions (direct):
Ba: 0.0000 0.0000 0.0000
Li: 0.5107 0.5107 0.5107
Li: 0.8123 0.8123 0.8123
Tl: 0.2011 0.2011 0.2011

Total moment, μB per atom: 0.000
Energy, eV per atom: -2.400
DFT formation energy, eV/atom: -0.222
ρ, g/cm3: 4.863
D(E_F), states/eV/f.u.: 3.4
E above lowest polymorph, kJ per mole of atoms: 1.0

=====

# Ba2LiTl2

A relaxed structure of Ba2LiTl2 (PBEsol, the Alexandria database).

a b c (Å): 9.0581 9.0581 4.5979
angles (deg): 90.00 90.00 90.00
Positions (direct):
Ba: 0.1623 0.3377 0.0000
Ba: 0.3377 0.8377 0.0000
Ba: 0.6623 0.1623 0.0000
Ba: 0.8377 0.6623 0.0000
Li: 0.0000 0.0000 0.5000
Li: 0.5000 0.5000 0.5000
Tl: 0.1352 0.6352 0.5000
Tl: 0.3648 0.1352 0.5000
Tl: 0.6352 0.8648 0.5000
Tl: 0.8648 0.3648 0.5000

Total moment, μB per atom: 0.000
Energy, eV per atom: -2.568
DFT formation energy, eV/atom: -0.263
ρ, g/cm3: 6.077
D(E_F), states/eV/f.u.: 4.8

=====

# Ba2LiTl

A relaxed structure of Ba2LiTl (PBEsol, the Alexandria database).

a b c (Å): 6.9904 6.9904 5.9400
angles (deg): 114.61 114.61 33.62
Positions (direct):
Ba: 0.0000 0.0000 0.0000
Ba: 0.1964 0.1964 0.6926
Li: 0.4145 0.4145 0.4147
Tl: 0.7518 0.7518 0.2465

Total moment, μB per atom: 0.001
Energy, eV per atom: -2.434
DFT formation energy, eV/atom: -0.210
ρ, g/cm3: 5.577
D(E_F), states/eV/f.u.: 4.6

=====

# BaLiTl3

A relaxed structure of BaLiTl3 (PBEsol, the Alexandria database).

a b c (Å): 5.2357 5.2357 5.2357
angles (deg): 90.00 90.00 90.00
Positions (direct):
Ba: 0.0000 0.0000 0.0000
Li: 0.5000 0.5000 0.5000
Tl: 0.0000 0.5000 0.5000
Tl: 0.5000 0.0000 0.5000
Tl: 0.5000 0.5000 0.0000

Total moment, μB per atom: 0.000
Energy, eV per atom: -2.650
DFT formation energy, eV/atom: -0.248
ρ, g/cm3: 8.763
D(E_F), states/eV/f.u.: 2.8

=====

# Ba2LiTl

A relaxed structure of Ba2LiTl (PBEsol, the Alexandria database).

a b c (Å): 5.9692 5.9692 4.2137
angles (deg): 90.00 90.00 90.00
Positions (direct):
Ba: 0.0000 0.5000 0.0000
Ba: 0.5000 0.0000 0.0000
Li: 0.0000 0.0000 0.5000
Tl: 0.5000 0.5000 0.5000

Total moment, μB per atom: 0.000
Energy, eV per atom: -2.460
DFT formation energy, eV/atom: -0.236
ρ, g/cm3: 5.375
D(E_F), states/eV/f.u.: 3.9

=====

# BaLiTl

A relaxed structure of BaLiTl (PBEsol, the Alexandria database).

a b c (Å): 6.5870 6.5870 6.5870
angles (deg): 145.00 145.00 50.34
Positions (direct):
Ba: 0.0000 0.0000 0.0000
Li: 0.7123 0.7123 0.0000
Tl: 0.3063 0.3063 0.0000

Total moment, μB per atom: 0.000
Energy, eV per atom: -2.500
DFT formation energy, eV/atom: -0.251
ρ, g/cm3: 6.188
D(E_F), states/eV/f.u.: 1.0
E above lowest polymorph, kJ per mole of atoms: 2.9

=====

# BaLiTl

A relaxed structure of BaLiTl (PBEsol, the Alexandria database).

a b c (Å): 5.3045 5.3045 3.8295
angles (deg): 90.00 90.00 120.00
Positions (direct):
Ba: 0.0000 0.0000 0.0000
Li: 0.3333 0.6667 0.5000
Tl: 0.6667 0.3333 0.5000

Total moment, μB per atom: 0.000
Energy, eV per atom: -2.529
DFT formation energy, eV/atom: -0.281
ρ, g/cm3: 6.204
D(E_F), states/eV/f.u.: 2.5
E above lowest polymorph, kJ per mole of atoms: 0.0

=====

# BaLi3Tl

A relaxed structure of BaLi3Tl (PBEsol, the Alexandria database).

a b c (Å): 5.2361 5.2361 5.2361
angles (deg): 90.00 90.00 90.00
Positions (direct):
Ba: 0.0000 0.0000 0.0000
Li: 0.0000 0.5000 0.5000
Li: 0.5000 0.0000 0.5000
Li: 0.5000 0.5000 0.0000
Tl: 0.5000 0.5000 0.5000

Total moment, μB per atom: 0.000
Energy, eV per atom: -2.266
DFT formation energy, eV/atom: -0.130
ρ, g/cm3: 4.194
D(E_F), states/eV/f.u.: 1.6

=====

# BaLi2Tl

A relaxed structure of BaLi2Tl (PBEsol, the Alexandria database).

a b c (Å): 5.3023 5.3023 5.3023
angles (deg): 60.00 60.00 60.00
Positions (direct):
Ba: 0.0000 0.0000 0.0000
Li: 0.2500 0.2500 0.2500
Li: 0.7500 0.7500 0.7500
Tl: 0.5000 0.5000 0.5000

Total moment, μB per atom: 0.000
Energy, eV per atom: -2.365
DFT formation energy, eV/atom: -0.187
ρ, g/cm3: 5.602
D(E_F), states/eV/f.u.: 5.0
E above lowest polymorph, kJ per mole of atoms: 4.4

=====

# Ba2LiTl

A relaxed structure of Ba2LiTl (PBEsol, the Alexandria database).

a b c (Å): 5.6838 5.6838 5.6838
angles (deg): 60.00 60.00 60.00
Positions (direct):
Ba: 0.0000 0.0000 0.0000
Ba: 0.2500 0.2500 0.2500
Li: 0.5000 0.5000 0.5000
Tl: 0.7500 0.7500 0.7500

Total moment, μB per atom: 0.000
Energy, eV per atom: -2.449
DFT formation energy, eV/atom: -0.225
ρ, g/cm3: 6.215
D(E_F), states/eV/f.u.: 0.5

=====

# BaLiTl4

A relaxed structure of BaLiTl4 (PBEsol, the Alexandria database).

a b c (Å): 6.3890 6.3890 6.3890
angles (deg): 60.00 60.00 60.00
Positions (direct):
Ba: 0.0000 0.0000 0.0000
Li: 0.2500 0.2500 0.2500
Tl: 0.1270 0.6243 0.6243
Tl: 0.6243 0.1270 0.6243
Tl: 0.6243 0.6243 0.1270
Tl: 0.6243 0.6243 0.6243

Total moment, μB per atom: 0.000
Energy, eV per atom: -2.616
DFT formation energy, eV/atom: -0.177
ρ, g/cm3: 8.661
D(E_F), states/eV/f.u.: 4.0

=====

# Ba2LiTl

A relaxed structure of Ba2LiTl (PBEsol, the Alexandria database).

a b c (Å): 4.0871 4.0871 9.1875
angles (deg): 90.00 90.00 90.00
Positions (direct):
Ba: 0.0000 0.0000 0.0000
Ba: 0.5000 0.5000 0.3837
Li: 0.0000 0.0000 0.6361
Tl: 0.5000 0.5000 0.7639

Total moment, μB per atom: 0.000
Energy, eV per atom: -2.386
DFT formation energy, eV/atom: -0.163
ρ, g/cm3: 5.258
D(E_F), states/eV/f.u.: 3.1

=====

# BaLi2Tl

A relaxed structure of BaLi2Tl (PBEsol, the Alexandria database).

a b c (Å): 6.2534 6.2534 6.2534
angles (deg): 45.64 45.64 45.64
Positions (direct):
Ba: 0.0000 0.0000 0.0000
Li: 0.1985 0.1985 0.1985
Li: 0.8015 0.8015 0.8015
Tl: 0.5000 0.5000 0.5000

Total moment, μB per atom: 0.000
Energy, eV per atom: -2.410
DFT formation energy, eV/atom: -0.232
ρ, g/cm3: 5.183
D(E_F), states/eV/f.u.: 3.4
E above lowest polymorph, kJ per mole of atoms: 0.0